Record 1
Entry from the Alexandria database: an optimized crystal structure of CaLa12Tb6 (PBE).

a = 9.5800 Å, b = 9.5800 Å, c = 9.5800 Å
α = 107.87°, β = 107.87°, γ = 107.87°
Last column: nearest neighbours and their distance in Å.
Element x y z (fractional)
Ca (0.0000, 0.0000, 0.0000)  6 La 3.71
La (0.1135, 0.5000, 0.8865)  4 Tb 3.29-3.59, 1 La 3.52
La (0.1135, 0.8865, 0.5000)  4 Tb 3.29-3.59, 1 La 3.52
La (0.1697, 0.3804, 0.3804)  1 Tb 3.05, 2 La 3.26
La (0.3804, 0.1697, 0.3804)  1 Tb 3.05, 2 La 3.26
La (0.3804, 0.3804, 0.1697)  1 Tb 3.05, 2 La 3.26
La (0.5000, 0.1135, 0.8865)  4 Tb 3.29-3.59, 1 La 3.52
La (0.5000, 0.8865, 0.1135)  4 Tb 3.29-3.59, 1 La 3.52
La (0.6196, 0.6196, 0.8303)  1 Tb 3.05, 2 La 3.26
La (0.6196, 0.8303, 0.6196)  1 Tb 3.05, 2 La 3.26
La (0.8303, 0.6196, 0.6196)  1 Tb 3.05, 2 La 3.26
La (0.8865, 0.1135, 0.5000)  4 Tb 3.29-3.59, 1 La 3.52
La (0.8865, 0.5000, 0.1135)  4 Tb 3.29-3.59, 1 La 3.52
Tb (0.2478, 0.6794, 0.6794)  3 La 3.05-3.29
Tb (0.3206, 0.3206, 0.7522)  3 La 3.05-3.29
Tb (0.3206, 0.7522, 0.3206)  3 La 3.05-3.29
Tb (0.6794, 0.2478, 0.6794)  3 La 3.05-3.29
Tb (0.6794, 0.6794, 0.2478)  3 La 3.05-3.29
Tb (0.7522, 0.3206, 0.3206)  3 La 3.05-3.29

**E**: -4.32 eV/atom
**Energy of formation from the pure elements**: 0.358 eV per atom

---

Record 2
Entry from the Alexandria database: an optimized crystal structure of CaLa2Tb2 (PBE).

a = 15.4000 Å, b = 15.4000 Å, c = 15.4000 Å
α = 13.72°, β = 13.72°, γ = 13.72°
Last column: nearest neighbours and their distance in Å.
Element x y z (fractional)
Ca (0.0000, 0.0000, 0.0000)  6 Ca 3.68, 6 La 3.91
La (0.4050, 0.4050, 0.4050)  3 Tb 3.60, 6 La 3.68, 3 Ca 3.91
La (0.5950, 0.5950, 0.5950)  3 Tb 3.60, 6 La 3.68, 3 Ca 3.91
Tb (0.1981, 0.1981, 0.1981)  9 Tb 3.57-3.68, 3 La 3.60
Tb (0.8019, 0.8019, 0.8019)  9 Tb 3.57-3.68, 3 La 3.60

**E**: -4.19 eV/atom
**Energy of formation from the pure elements**: 0.029 eV per atom

---

Record 3
Entry from the Alexandria database: an optimized crystal structure of Ca2LaTb (PBE).

a = 13.4902 Å, b = 13.4902 Å, c = 13.4902 Å
α = 15.38°, β = 15.38°, γ = 15.38°
Last column: nearest neighbours and their distance in Å.
Element x y z (fractional)
Ca (0.0894, 0.0894, 0.0894)  1 La 3.57, 6 Ca 3.61, 3 Tb 3.73
Ca (0.9106, 0.9106, 0.9106)  1 La 3.57, 6 Ca 3.61, 3 Tb 3.73
La (0.0000, 0.0000, 0.0000)  2 Ca 3.57, 6 La 3.61
Tb (0.5000, 0.5000, 0.5000)  6 Tb 3.61, 6 Ca 3.73

**E**: -3.20 eV/atom
**Energy above the lowest structure with this stoichiometry**: 0.092 eV per atom
**Energy of formation from the pure elements**: 0.193 eV per atom

---

Among the records above, which one has the highest E? Ca2LaTb

---

Number 1 is which compound? CaLa12Tb6